First-principles (PBE-GGA) data for a relaxed Mg2Ni3 crystal, as listed in Alexandria.

Structure (extended XYZ):
```
5
Lattice="4.1126 0.0000 0.0000 -2.0563 3.5616 0.0000 0.0000 0.0000 5.1146" Properties=species:S:1:pos:R:3 pbc="T T T"
Mg 0.0000 2.3744 1.6646
Mg 2.0563 1.1872 3.4501
Ni 0.0000 0.0000 2.5573
Ni 0.0000 2.3744 4.3120
Ni 2.0563 1.1872 0.8026
```

Values from the calculation:
Space group: P-3m1
Total magnetization (μB/atom): 0.000

First-principles (PBE-GGA) data for a relaxed Mg5Ni crystal, as listed in Alexandria.

Structure (extended XYZ):
```
6
Lattice="0.0000 3.9483 3.9483 3.9483 0.0000 3.9483 3.9483 3.9483 0.0000" Properties=species:S:1:pos:R:3 pbc="T T T"
Mg 0.0000 0.0000 0.0000
Mg 4.9305 2.9660 2.9660
Mg 2.9660 4.9305 2.9660
Mg 2.9660 2.9660 4.9305
Mg 4.9305 4.9305 4.9305
Ni 1.9741 1.9741 1.9741
```

Values from the calculation:
Space group: F-43m
Total magnetization (μB/atom): 0.000

no.,distance to the lowest polymorph of the same formula (eV per atom),formation enthalpy at 0 K (meV per atom),density of states at the Fermi level (states/eV per cell)
1,0.256,286,3.41
2,0.323,269,2.91